This record from the Alexandria database describes a relaxed structure of Mg2NpMnO6. The functional is GGA+U. Values from VASP.

Computed properties:
Spin magnetization   6.00 μB per cell
DFT total energy   -7.872 eV per atom

```
&SYSTEM
  ibrav = 0, nat = 10, ntyp = 4
/
ATOMIC_SPECIES
Mg 24.30 Mg.upf
Np 237.00 Np.upf
Mn 54.94 Mn.upf
O 16.00 O.upf
ATOMIC_POSITIONS crystal
Mg 0.0000 0.0000 0.0000
Mg 0.4914 0.4914 0.4914
Np 0.6980 0.6980 0.6980
Mn 0.2059 0.2059 0.2059
O 0.0951 0.4130 0.7938
O 0.3049 0.8984 0.6116
O 0.4130 0.7938 0.0951
O 0.6116 0.3049 0.8984
O 0.7938 0.0951 0.4130
O 0.8984 0.6116 0.3049
CELL_PARAMETERS angstrom
2.6855 1.5505 4.8350
-2.6855 1.5505 4.8350
0.0000 -3.1009 4.8350
```